No. 1
# Ti6Pb2O

A relaxed Ti6Pb2O crystal (GGA-PBE, Alexandria).

Properties
raw total energy	-7.23	eV per atom
offset from the most stable computed form	7.0	kJ per mole of atoms
spin magnetization	1.31	μB/cell
space group	Fm-3m, No. 225
V	16.7	A^3/atom
mass density	7908	kg/m³
E_form (uncorrected)	-5.3	eV per formula unit

```
Ti6Pb2O
1.0
0.000 4.223 4.223
4.223 0.000 4.223
4.223 4.223 0.000
Ti Pb O
6 2 1
direct
0.242 0.242 0.758
0.242 0.758 0.242
0.242 0.758 0.758
0.758 0.242 0.242
0.758 0.242 0.758
0.758 0.758 0.242
0.250 0.250 0.250
0.750 0.750 0.750
0.500 0.500 0.500
```

---

No. 2
# TiPbO3

A relaxed TiPbO3 crystal (GGA-PBE, Alexandria).

Properties
raw total energy	-7.60	eV per atom
spin magnetization	0.00	μB/cell
space group	I4/m, No. 87
V	15.3	A^3/atom
mass density	6584	kg/m³
E_form (uncorrected)	-11.5	eV per formula unit

```
TiPbO3
1.0
-6.340 6.340 1.902
6.340 -6.340 1.902
6.340 6.340 -1.902
Ti Pb O
4 4 12
direct
0.033 0.643 0.676
0.357 0.033 0.389
0.643 0.967 0.611
0.967 0.357 0.324
0.331 0.648 0.980
0.352 0.331 0.683
0.648 0.669 0.317
0.669 0.352 0.020
0.047 0.240 0.287
0.104 0.471 0.575
0.164 0.711 0.875
0.240 0.953 0.194
0.289 0.164 0.453
0.471 0.896 0.367
0.529 0.104 0.633
0.711 0.836 0.547
0.760 0.047 0.806
0.836 0.289 0.125
0.896 0.529 0.425
0.953 0.760 0.713
```

---

No. 3
# TiPbO3

A relaxed TiPbO3 crystal (GGA-PBE, Alexandria).

Properties
raw total energy	-7.34	eV per atom
spin magnetization	0.00	μB/cell
space group	P6_3/mmc, No. 194
V	14.6	A^3/atom
mass density	6908	kg/m³
E_form (uncorrected)	-10.2	eV per formula unit

```
TiPbO3
1.0
3.564 0.000 0.000
-1.782 3.087 0.000
0.000 0.000 13.245
Ti Pb O
2 2 6
direct
0.333 0.667 0.250
0.667 0.333 0.750
0.000 0.000 0.000
0.000 0.000 0.500
0.000 0.000 0.250
0.000 0.000 0.750
0.333 0.667 0.109
0.333 0.667 0.391
0.667 0.333 0.609
0.667 0.333 0.891
```

---

No. 4
# TiPbO3

A relaxed TiPbO3 crystal (GGA-PBE, Alexandria).

Properties
raw total energy	-6.84	eV per atom
spin magnetization	0.00	μB/cell
space group	I-4m2, No. 119
V	14.1	A^3/atom
mass density	7153	kg/m³
E_form (uncorrected)	-7.7	eV per formula unit

```
TiPbO3
1.0
-2.433 2.433 5.944
2.433 -2.433 5.944
2.433 2.433 -5.944
Ti Pb O
2 2 6
direct
0.000 0.000 0.000
0.750 0.250 0.500
0.126 0.626 0.500
0.374 0.874 0.500
0.300 0.300 0.000
0.374 0.107 0.267
0.700 0.700 0.000
0.840 0.107 0.733
0.893 0.160 0.267
0.893 0.626 0.733
```

---

No. 5
# Ti8Pb2O

A relaxed Ti8Pb2O crystal (GGA-PBE, Alexandria).

Properties
raw total energy	-7.19	eV per atom
spin magnetization	0.00	μB/cell
space group	C2/m, No. 12
V	17.2	A^3/atom
mass density	7132	kg/m³
E_form (uncorrected)	-3.6	eV per formula unit

```
Ti8Pb2O
1.0
7.585 -2.321 0.000
7.585 2.321 0.000
-1.685 0.000 5.379
Ti Pb O
8 2 1
direct
0.003 0.003 0.241
0.212 0.212 0.120
0.380 0.380 0.748
0.426 0.426 0.277
0.574 0.574 0.723
0.620 0.620 0.252
0.788 0.788 0.880
0.997 0.997 0.759
0.176 0.176 0.608
0.824 0.824 0.392
0.500 0.500 0.000
```

---

No. 6
# Ti4PbO8

A relaxed Ti4PbO8 crystal (GGA-PBE, Alexandria).

Properties
raw total energy	-8.39	eV per atom
spin magnetization	1.76	μB/cell
space group	R-3m, No. 166
V	14.5	A^3/atom
mass density	4643	kg/m³
E_form (uncorrected)	-34.2	eV per formula unit

```
Ti4PbO8
1.0
2.984 1.723 6.106
-2.984 1.723 6.106
0.000 -3.446 6.106
Ti Pb O
4 1 8
direct
0.000 0.000 0.000
0.000 0.500 0.500
0.500 0.000 0.500
0.500 0.500 0.000
0.500 0.500 0.500
0.228 0.228 0.721
0.228 0.721 0.228
0.279 0.279 0.279
0.279 0.772 0.772
0.721 0.228 0.228
0.721 0.721 0.721
0.772 0.279 0.772
0.772 0.772 0.279
```

---

No. 7
# TiPbO3

A relaxed TiPbO3 crystal (GGA-PBE, Alexandria).

Properties
raw total energy	-6.75	eV per atom
spin magnetization	1.16	μB/cell
space group	P6_3/mmc, No. 194
V	14.9	A^3/atom
mass density	6774	kg/m³
E_form (uncorrected)	-7.3	eV per formula unit

```
TiPbO3
1.0
3.613 0.000 0.000
-1.807 3.129 0.000
0.000 0.000 13.142
Ti Pb O
2 2 6
direct
0.000 0.000 0.000
0.000 0.000 0.500
0.333 0.667 0.250
0.667 0.333 0.750
0.000 0.000 0.250
0.000 0.000 0.750
0.333 0.667 0.059
0.333 0.667 0.441
0.667 0.333 0.559
0.667 0.333 0.941
```

---

No. 8
# TiPbO3

A relaxed TiPbO3 crystal (GGA-PBE, Alexandria).

Properties
raw total energy	-7.55	eV per atom
spin magnetization	0.00	μB/cell
space group	C2/m, No. 12
V	16.2	A^3/atom
mass density	6228	kg/m³
E_form (uncorrected)	-11.3	eV per formula unit

```
TiPbO3
1.0
6.993 -1.781 0.000
6.993 1.781 0.000
-2.736 0.000 6.489
Ti Pb O
2 2 6
direct
0.158 0.158 0.337
0.842 0.842 0.663
0.391 0.391 0.181
0.609 0.609 0.819
0.018 0.018 0.266
0.178 0.178 0.098
0.319 0.319 0.542
0.681 0.681 0.458
0.822 0.822 0.902
0.982 0.982 0.734
```

---

No. 9
# TiPbO2

A relaxed TiPbO2 crystal (GGA-PBE, Alexandria).

Properties
raw total energy	-6.68	eV per atom
spin magnetization	0.00	μB/cell
space group	R-3m, No. 166
V	18.0	A^3/atom
mass density	6628	kg/m³
E_form (uncorrected)	-5.2	eV per formula unit

```
TiPbO2
1.0
3.555 0.000 0.000
-1.777 3.078 0.000
0.000 0.000 19.718
Ti Pb O
3 3 6
direct
0.000 0.000 0.000
0.333 0.667 0.667
0.667 0.333 0.333
0.000 0.000 0.500
0.333 0.667 0.167
0.667 0.333 0.833
0.000 0.000 0.093
0.000 0.000 0.907
0.333 0.667 0.573
0.333 0.667 0.760
0.667 0.333 0.240
0.667 0.333 0.427
```

---

No. 10
# TiPbO3

A relaxed TiPbO3 crystal (GGA-PBE, Alexandria).

Properties
raw total energy	-7.60	eV per atom
spin magnetization	0.00	μB/cell
space group	C2/c, No. 15
V	18.0	A^3/atom
mass density	5584	kg/m³
E_form (uncorrected)	-11.5	eV per formula unit

```
TiPbO3
1.0
5.755 -5.297 0.000
5.755 5.297 0.000
-1.730 0.000 5.912
Ti Pb O
4 4 12
direct
0.149 0.347 0.251
0.347 0.149 0.751
0.653 0.851 0.249
0.851 0.653 0.749
0.155 0.845 0.250
0.351 0.649 0.750
0.649 0.351 0.250
0.845 0.155 0.750
0.082 0.688 0.846
0.195 0.576 0.346
0.244 0.247 0.502
0.247 0.244 0.002
0.312 0.918 0.654
0.424 0.805 0.154
0.576 0.195 0.846
0.688 0.082 0.346
0.753 0.756 0.998
0.756 0.753 0.498
0.805 0.424 0.654
0.918 0.312 0.154
```

---

No. 11
# TiPbO3

A relaxed TiPbO3 crystal (GGA-PBE, Alexandria).

Properties
raw total energy	-7.61	eV per atom
spin magnetization	0.00	μB/cell
space group	P2_1/m, No. 11
V	16.4	A^3/atom
mass density	6156	kg/m³
E_form (uncorrected)	-11.6	eV per formula unit

```
TiPbO3
1.0
6.261 0.000 0.000
0.000 3.880 0.000
-2.198 0.000 6.731
Ti Pb O
2 2 6
direct
0.039 0.250 0.182
0.961 0.750 0.818
0.430 0.250 0.707
0.570 0.750 0.293
0.048 0.750 0.116
0.183 0.750 0.712
0.324 0.250 0.368
0.676 0.750 0.632
0.817 0.250 0.288
0.952 0.250 0.884
```

---

No. 12
# Ti5Pb2O

A relaxed Ti5Pb2O crystal (GGA-PBE, Alexandria).

Properties
raw total energy	-6.80	eV per atom
spin magnetization	0.86	μB/cell
space group	Cmcm, No. 63
V	20.6	A^3/atom
mass density	6745	kg/m³
E_form (uncorrected)	-2.5	eV per formula unit

```
Ti5Pb2O
1.0
1.893 -7.981 0.000
1.893 7.981 0.000
0.000 0.000 10.913
Ti Pb O
10 4 2
direct
0.139 0.861 0.630
0.139 0.861 0.870
0.257 0.743 0.250
0.302 0.698 0.553
0.302 0.698 0.947
0.698 0.302 0.053
0.698 0.302 0.447
0.743 0.257 0.750
0.861 0.139 0.130
0.861 0.139 0.370
0.056 0.944 0.115
0.056 0.944 0.385
0.944 0.056 0.615
0.944 0.056 0.885
0.251 0.749 0.750
0.749 0.251 0.250
```

---

No. 13
# TiPbO3

A relaxed TiPbO3 crystal (GGA-PBE, Alexandria).

Properties
raw total energy	-7.59	eV per atom
spin magnetization	0.00	μB/cell
space group	R-3, No. 148
V	17.1	A^3/atom
mass density	5898	kg/m³
E_form (uncorrected)	-11.5	eV per formula unit

```
TiPbO3
1.0
2.616 1.510 7.200
-2.616 1.510 7.200
0.000 -3.020 7.200
Ti Pb O
2 2 6
direct
0.163 0.163 0.163
0.837 0.837 0.837
0.396 0.396 0.396
0.604 0.604 0.604
0.078 0.450 0.821
0.179 0.922 0.550
0.450 0.821 0.078
0.550 0.179 0.922
0.821 0.078 0.450
0.922 0.550 0.179
```

---

No. 14
# TiPbO3

A relaxed TiPbO3 crystal (GGA-PBE, Alexandria).

Properties
raw total energy	-7.56	eV per atom
spin magnetization	0.00	μB/cell
space group	C2/m, No. 12
V	14.4	A^3/atom
mass density	6995	kg/m³
E_form (uncorrected)	-11.3	eV per formula unit

```
TiPbO3
1.0
5.167 -1.922 0.000
5.167 1.922 0.000
-1.051 0.000 7.245
Ti Pb O
2 2 6
direct
0.137 0.137 0.411
0.863 0.863 0.589
0.388 0.388 0.146
0.612 0.612 0.854
0.053 0.053 0.667
0.170 0.170 0.172
0.332 0.332 0.536
0.668 0.668 0.464
0.830 0.830 0.828
0.947 0.947 0.333
```

---

No. 15
# TiPbO3

A relaxed TiPbO3 crystal (GGA-PBE, Alexandria).

Properties
raw total energy	-7.07	eV per atom
spin magnetization	0.00	μB/cell
space group	R3m, No. 160
V	26.0	A^3/atom
mass density	3869	kg/m³
E_form (uncorrected)	-8.9	eV per formula unit

```
TiPbO3
1.0
6.567 0.000 0.000
-3.284 5.688 0.000
0.000 0.000 10.448
Ti Pb O
3 3 9
direct
0.000 0.000 0.000
0.333 0.667 0.667
0.667 0.333 0.333
0.000 0.000 0.306
0.333 0.667 0.973
0.667 0.333 0.640
0.042 0.521 0.727
0.146 0.291 0.060
0.146 0.854 0.060
0.375 0.188 0.393
0.479 0.521 0.727
0.479 0.958 0.727
0.709 0.854 0.060
0.812 0.188 0.393
0.812 0.625 0.393
```

---

No. 16
# TiPb3O

A relaxed TiPb3O crystal (GGA-PBE, Alexandria).

Properties
raw total energy	-4.77	eV per atom
offset from the most stable computed form	0.0	kJ per mole of atoms
spin magnetization	0.00	μB/cell
space group	Pm-3m, No. 221
V	23.6	A^3/atom
mass density	9641	kg/m³
E_form (uncorrected)	0.1	eV per formula unit

```
TiPb3O
1.0
4.906 0.000 0.000
0.000 4.906 0.000
0.000 0.000 4.906
Ti Pb O
1 3 1
direct
0.000 0.000 0.000
0.000 0.500 0.500
0.500 0.000 0.500
0.500 0.500 0.000
0.500 0.500 0.500
```

---

No. 17
# Ti4Pb2O

A relaxed Ti4Pb2O crystal (GGA-PBE, Alexandria).

Properties
raw total energy	-6.99	eV per atom
spin magnetization	0.00	μB/cell
space group	I4/mmm, No. 139
V	18.0	A^3/atom
mass density	8176	kg/m³
E_form (uncorrected)	-5.0	eV per formula unit

```
Ti4Pb2O
1.0
4.174 0.000 0.000
0.000 4.174 0.000
0.000 0.000 14.495
Ti Pb O
8 4 2
direct
0.000 0.000 0.143
0.000 0.000 0.857
0.000 0.500 0.000
0.000 0.500 0.500
0.500 0.000 0.000
0.500 0.000 0.500
0.500 0.500 0.357
0.500 0.500 0.643
0.000 0.000 0.346
0.000 0.000 0.654
0.500 0.500 0.154
0.500 0.500 0.846
0.000 0.000 0.000
0.500 0.500 0.500
```

---

No. 18
# TiPb2O

A relaxed TiPb2O crystal (GGA-PBE, Alexandria).

Properties
raw total energy	-5.03	eV per atom
spin magnetization	0.00	μB/cell
space group	I-42d, No. 122
V	21.3	A^3/atom
mass density	9313	kg/m³
E_form (uncorrected)	0.1	eV per formula unit

```
TiPb2O
1.0
6.941 0.000 0.000
0.000 6.941 0.000
0.000 0.000 7.079
Ti Pb O
4 8 4
direct
0.000 0.000 0.000
0.000 0.500 0.250
0.500 0.000 0.750
0.500 0.500 0.500
0.193 0.750 0.625
0.250 0.193 0.375
0.250 0.307 0.875
0.307 0.750 0.125
0.693 0.250 0.125
0.750 0.693 0.875
0.750 0.807 0.375
0.807 0.250 0.625
0.000 0.000 0.500
0.000 0.500 0.750
0.500 0.000 0.250
0.500 0.500 0.000
```

---

No. 19
# Ti8Pb8O23

A relaxed Ti8Pb8O23 crystal (GGA-PBE, Alexandria).

Properties
raw total energy	-7.55	eV per atom
spin magnetization	0.00	μB/cell
space group	Pm, No. 6
V	14.4	A^3/atom
mass density	7113	kg/m³
E_form (uncorrected)	-87.7	eV per formula unit

```
Ti8Pb8O23
1.0
12.234 0.000 0.000
0.000 3.850 0.000
-3.448 0.000 11.939
Ti Pb O
8 8 23
direct
0.000 0.000 0.000
0.121 0.000 0.748
0.248 0.000 0.499
0.373 0.000 0.247
0.499 0.000 0.997
0.620 0.000 0.746
0.748 0.000 0.498
0.873 0.000 0.248
0.102 0.500 0.236
0.227 0.500 0.984
0.350 0.500 0.734
0.477 0.500 0.482
0.604 0.500 0.231
0.729 0.500 0.974
0.846 0.500 0.740
0.976 0.500 0.487
0.041 0.500 0.028
0.103 0.000 0.903
0.110 0.000 0.408
0.163 0.500 0.776
0.226 0.000 0.651
0.236 0.000 0.156
0.290 0.500 0.526
0.352 0.000 0.400
0.361 0.000 0.906
0.415 0.500 0.273
0.478 0.000 0.148
0.483 0.000 0.654
0.541 0.500 0.021
0.603 0.000 0.894
0.611 0.000 0.405
0.722 0.000 0.653
0.736 0.000 0.156
0.786 0.500 0.529
0.851 0.000 0.403
0.862 0.000 0.908
0.914 0.500 0.278
0.979 0.000 0.153
0.984 0.000 0.656
```

---

No. 20
# TiPbO3

A relaxed TiPbO3 crystal (GGA-PBE, Alexandria).

Properties
raw total energy	-7.56	eV per atom
spin magnetization	0.00	μB/cell
space group	C2/c, No. 15
V	14.8	A^3/atom
mass density	6790	kg/m³
E_form (uncorrected)	-11.3	eV per formula unit

```
TiPbO3
1.0
5.293 -5.431 0.000
5.293 5.431 0.000
-0.072 0.000 5.157
Ti Pb O
4 4 12
direct
0.077 0.923 0.750
0.232 0.768 0.250
0.768 0.232 0.750
0.923 0.077 0.250
0.178 0.416 0.722
0.416 0.178 0.222
0.584 0.822 0.778
0.822 0.584 0.278
0.028 0.164 0.926
0.091 0.702 0.568
0.164 0.028 0.426
0.210 0.544 0.124
0.298 0.909 0.932
0.456 0.790 0.376
0.544 0.210 0.624
0.702 0.091 0.068
0.790 0.456 0.876
0.836 0.972 0.574
0.909 0.298 0.432
0.972 0.836 0.074
```